A plane-wave DFT calculation with PBE-GGA was carried out for a relaxed structure of CePrHfN3.

```
CePrHfN3
1.0
3.326 0.000 0.000
0.000 6.260 0.443
0.000 -1.900 9.535
Hf N Ce Pr
2 6 2 2
Cartesian
2.494 0.346 8.743
0.831 4.013 1.235
2.494 5.186 1.990
2.494 1.034 4.247
0.831 3.326 5.732
0.831 -0.827 7.989
0.831 1.930 8.691
2.494 2.430 1.288
2.494 3.540 4.156
0.831 0.820 5.822
2.494 3.600 7.730
0.831 0.759 2.249
```

Calculated values
Formation energy without anion corrections, eV per atom: -1.33
Space-group type: P2_1/m (11)
DOS at the Fermi energy, states/eV/cell: 8.9

A plane-wave DFT calculation with PBE-GGA was carried out for a relaxed structure of Ce2PrHfN4.

```
Ce2PrHfN4
1.0
-0.705 -2.010 -2.736
5.974 -0.396 -1.249
-1.549 -4.520 3.720
Pr Ce Hf N
1 2 1 4
Cartesian
2.634 -1.203 -1.992
-1.127 -3.265 0.492
2.212 -2.458 1.236
0.000 0.000 0.000
0.600 -2.127 -0.789
3.119 -4.799 0.525
4.285 -1.409 -0.069
0.139 -3.507 2.541
```

Calculated values
Formation energy without anion corrections, eV per atom: -1.50
Space-group type: P2/m (10)
DOS at the Fermi energy, states/eV/cell: 5.3

A plane-wave DFT calculation with PBE-GGA was carried out for a relaxed structure of CePr2HfN4.

```
CePr2HfN4
1.0
-2.928 -1.719 0.807
3.067 -5.239 -0.031
0.178 2.366 5.684
N Pr Hf Ce
4 2 1 1
Cartesian
-0.742 -1.529 1.599
2.368 -3.465 1.211
1.058 -3.064 4.861
0.877 0.591 4.442
1.622 -1.437 2.827
-1.375 0.323 3.246
0.000 0.000 0.000
0.069 -3.479 0.388
```

Calculated values
Formation energy without anion corrections, eV per atom: -1.48
Space-group type: P2/m (10)
DOS at the Fermi energy, states/eV/cell: 3.4

A plane-wave DFT calculation with PBE-GGA was carried out for a relaxed structure of CeHf2PtN4.

```
CeHf2PtN4
1.0
3.275 0.000 0.000
-1.638 5.569 0.000
0.000 0.000 11.571
Ce N Pt Hf
2 8 2 4
Cartesian
1.638 4.296 2.893
0.000 1.273 8.678
0.000 5.326 8.678
1.638 2.559 10.386
0.000 0.000 5.786
0.000 3.009 4.600
0.000 0.000 0.000
1.638 2.559 6.971
1.638 0.243 2.893
0.000 3.009 1.185
0.000 1.741 2.893
1.638 3.828 8.678
1.638 1.466 5.199
1.638 1.466 0.587
0.000 4.102 10.985
0.000 4.102 6.372
```

Calculated values
Formation energy without anion corrections, eV per atom: -1.16
Space-group type: Cmcm (63)
DOS at the Fermi energy, states/eV/cell: 2.8

A plane-wave DFT calculation with PBE-GGA was carried out for a relaxed structure of Ce2PuHf3N6.

```
Ce2PuHf3N6
1.0
-2.082 -2.443 -0.802
4.044 -4.494 3.192
-3.760 3.634 5.513
Ce N Hf Pu
2 6 3 1
Cartesian
-0.253 -0.691 2.761
-1.545 -2.612 5.141
-0.116 -3.174 3.145
-4.689 -0.046 5.484
2.891 -3.258 2.418
-1.682 -0.129 4.757
-2.455 -0.667 1.579
0.656 -2.636 6.323
1.780 -2.949 4.359
0.981 -3.469 1.195
-3.579 -0.355 3.543
-1.041 -1.222 -0.401
```

Calculated values
Formation energy without anion corrections, eV per atom: -1.67
Space-group type: C2/m (12)
DOS at the Fermi energy, states/eV/cell: 10.2

A plane-wave DFT calculation with PBE-GGA was carried out for a relaxed structure of CePuHfN3.

```
CePuHfN3
1.0
3.221 0.000 0.000
0.000 6.831 0.952
0.000 -1.643 7.845
Hf N Pu Ce
2 6 2 2
Cartesian
0.805 4.026 1.769
2.415 1.163 7.027
0.805 3.972 3.861
0.805 2.669 7.408
2.415 2.520 1.388
0.805 -0.439 6.818
2.415 5.628 1.978
2.415 1.217 4.935
2.415 5.242 4.425
0.805 -0.054 4.372
0.805 0.711 1.416
2.415 4.478 7.380
```

Calculated values
Formation energy without anion corrections, eV per atom: -1.18
Space-group type: P2_1/m (11)
DOS at the Fermi energy, states/eV/cell: 9.8

A plane-wave DFT calculation with PBE-GGA was carried out for a relaxed structure of CePu3Hf2N6.

```
CePu3Hf2N6
1.0
5.893 0.002 0.003
-2.943 5.105 0.003
-0.981 -1.698 5.554
Pu N Hf Ce
3 6 2 1
Cartesian
3.947 -0.007 2.780
-1.979 3.416 2.780
0.984 1.704 2.780
2.091 0.004 1.297
1.901 3.292 1.276
-0.122 3.404 4.263
-1.041 1.813 1.297
0.067 0.116 4.284
3.010 1.595 4.263
2.949 1.702 0.003
0.000 3.405 0.003
0.000 0.000 0.000
```

Calculated values
Formation energy without anion corrections, eV per atom: -1.49
Space-group type: C2/m (12)
DOS at the Fermi energy, states/eV/cell: 16.8

A plane-wave DFT calculation with PBE-GGA was carried out for a relaxed structure of CePu2HfN4.

```
CePu2HfN4
1.0
-0.907 3.288 -0.188
-3.623 -1.263 -4.616
-3.043 -0.551 5.032
N Hf Pu Ce
4 1 2 1
Cartesian
-3.118 -0.702 2.764
-3.547 -1.113 -2.347
-5.605 0.239 0.190
-1.967 1.234 0.039
0.000 0.000 0.000
-1.975 1.368 2.422
-3.333 -0.907 0.208
-2.265 1.012 -2.402
```

Calculated values
Formation energy without anion corrections, eV per atom: -1.46
Space-group type: P2/m (10)
DOS at the Fermi energy, states/eV/cell: 11.2

A plane-wave DFT calculation with PBE-GGA was carried out for a relaxed structure of Ce2HfReN6.

```
Ce2HfReN6
1.0
-2.040 -4.231 -3.003
3.852 1.070 -4.124
5.151 -4.946 3.528
Ce N Re Hf
4 12 2 2
Cartesian
2.048 -7.836 -0.564
4.972 -5.276 -1.169
4.915 -0.272 -3.035
1.991 -2.831 -2.430
0.226 -3.778 -1.004
6.737 -4.330 -2.595
6.271 -7.277 -2.375
1.442 -4.444 -4.041
2.305 -0.761 -3.550
5.521 -3.664 0.442
2.627 -2.890 0.198
0.691 -0.830 -1.224
2.579 -5.326 -1.318
4.384 -2.781 -2.281
4.658 -7.347 -0.049
4.336 -5.217 -3.797
1.555 -4.588 0.263
1.926 0.535 -2.062
4.501 -1.938 -0.298
-1.020 -2.115 -1.501
```

Calculated values
Formation energy without anion corrections, eV per atom: -1.07
Space-group type: P2_1/c (14)
DOS at the Fermi energy, states/eV/cell: 8.0

A plane-wave DFT calculation with PBE-GGA was carried out for a relaxed structure of CeHf2RuN4.

```
CeHf2RuN4
1.0
3.217 0.000 0.000
-1.608 5.634 0.000
0.000 0.000 11.278
Ce Ru N Hf
2 2 8 4
Cartesian
0.000 1.259 8.458
1.608 4.374 2.819
1.608 3.943 8.458
0.000 1.690 2.819
1.608 2.568 10.028
1.608 0.467 2.819
0.000 0.000 0.000
0.000 5.167 8.458
0.000 3.066 4.390
0.000 0.000 5.639
0.000 3.066 1.249
1.608 2.568 6.888
0.000 4.164 10.712
1.608 1.470 5.073
1.608 1.470 0.566
0.000 4.164 6.204
```

Calculated values
Formation energy without anion corrections, eV per atom: -1.22
Space-group type: Cmcm (63)
DOS at the Fermi energy, states/eV/cell: 8.2

A plane-wave DFT calculation with PBE-GGA was carried out for a relaxed structure of Ce2HfScN4.

```
Ce2HfScN4
1.0
-2.624 1.986 -0.550
0.016 -1.573 -5.757
-3.374 -4.644 -0.674
N Ce Sc Hf
4 2 1 1
Cartesian
-2.195 -1.368 -4.587
-3.450 0.405 -2.319
-3.786 -2.863 -2.394
-2.531 -4.635 -4.661
-3.374 -4.644 -0.674
-2.999 -1.329 -0.612
-1.304 0.207 -3.153
-1.679 -3.108 -3.215
```

Calculated values
Formation energy without anion corrections, eV per atom: -1.68
Space-group type: P2/m (10)
DOS at the Fermi energy, states/eV/cell: 5.1

A plane-wave DFT calculation with PBE-GGA was carried out for a relaxed structure of Ce3Hf2ScN6.

```
Ce3Hf2ScN6
1.0
5.762 -0.002 0.001
-2.881 4.990 0.001
-0.960 -1.662 5.671
N Hf Sc Ce
6 2 1 3
Cartesian
-0.030 3.326 4.439
-0.975 1.689 1.234
0.015 0.026 4.445
2.896 1.637 4.439
1.906 3.300 1.227
1.950 0.000 1.234
-0.002 3.327 0.001
2.882 1.661 0.001
0.000 0.000 0.000
-1.932 3.334 2.836
3.853 -0.008 2.836
0.960 1.663 2.836
```

Calculated values
Formation energy without anion corrections, eV per atom: -1.69
Space-group type: C2/m (12)
DOS at the Fermi energy, states/eV/cell: 6.9

A plane-wave DFT calculation with PBE-GGA was carried out for a relaxed structure of CeHf2Sc3N6.

```
CeHf2Sc3N6
1.0
3.255 0.000 0.000
0.000 6.541 0.274
-1.628 -1.845 6.874
N Sc Hf Ce
6 3 2 1
Cartesian
1.628 2.951 7.002
0.000 1.520 4.658
1.628 -0.012 2.410
0.000 4.708 4.737
1.628 3.176 2.489
0.000 1.746 0.146
0.000 4.819 2.548
1.628 -0.123 4.600
1.628 3.271 0.137
0.000 1.591 2.416
1.628 3.105 4.732
1.628 0.000 0.000
```

Calculated values
Formation energy without anion corrections, eV per atom: -1.79
Space-group type: C2/m (12)
DOS at the Fermi energy, states/eV/cell: 4.0

A plane-wave DFT calculation with PBE-GGA was carried out for a relaxed structure of CeHfSc2N4.

```
CeHfSc2N4
1.0
3.291 0.000 0.000
0.000 5.765 0.125
0.000 -1.993 5.310
Sc Ce Hf N
2 1 1 4
Cartesian
1.645 -0.997 2.655
0.000 1.886 2.717
1.645 2.882 0.062
0.000 0.000 0.000
1.645 0.867 1.351
1.645 2.904 4.083
0.000 3.926 1.475
0.000 -0.155 3.959
```

Calculated values
Formation energy without anion corrections, eV per atom: -1.73
Space-group type: P2/m (10)
DOS at the Fermi energy, states/eV/cell: 3.7

A plane-wave DFT calculation with PBE-GGA was carried out for a relaxed structure of CeHfSe2N.

```
CeHfSe2N
1.0
3.881 0.000 0.000
0.000 3.881 0.000
0.000 0.000 13.633
Se N Ce Hf
4 2 2 2
Cartesian
0.000 1.941 1.476
1.941 0.000 3.892
1.941 0.000 12.157
0.000 1.941 9.741
0.000 0.000 6.817
1.941 1.941 6.817
1.941 0.000 7.991
0.000 1.941 5.642
0.000 1.941 12.320
1.941 0.000 1.313
```

Calculated values
Formation energy without anion corrections, eV per atom: -1.37
Space-group type: P4/nmm (129)
DOS at the Fermi energy, states/eV/cell: 2.8

A plane-wave DFT calculation with PBE-GGA was carried out for a relaxed structure of SrCe2HfN4.

```
SrCe2HfN4
1.0
7.030 -0.037 -0.066
-0.042 7.030 -0.066
-3.504 -3.507 5.009
N Ce Hf Sr
8 4 2 2
Cartesian
1.826 -1.996 4.837
3.291 0.044 2.333
1.706 1.624 0.085
1.658 5.482 0.039
0.193 3.441 2.544
0.119 0.036 2.354
1.777 1.861 4.792
3.365 3.450 2.523
0.011 -3.525 4.976
1.763 -1.772 2.471
5.277 -1.791 2.438
3.494 3.496 -0.066
1.742 1.743 2.438
7.030 -0.037 -0.066
5.256 1.724 2.405
7.008 3.477 -0.099
```

Calculated values
Formation energy without anion corrections, eV per atom: -1.34
Space-group type: Imma (74)
DOS at the Fermi energy, states/eV/cell: 8.3

A plane-wave DFT calculation with PBE-GGA was carried out for a relaxed structure of Sr2CeHfN4.

```
Sr2CeHfN4
1.0
-0.882 1.116 3.201
4.795 -3.244 2.453
4.911 3.573 0.107
N Sr Hf Ce
4 2 1 1
Cartesian
1.786 1.045 3.961
4.536 2.173 2.409
4.287 -0.728 3.352
7.038 0.399 1.800
2.014 2.344 1.654
4.911 3.573 0.107
4.853 0.164 1.280
1.956 -1.064 2.827
```

Calculated values
Formation energy without anion corrections, eV per atom: -1.26
Space-group type: P2/m (10)

A plane-wave DFT calculation with PBE-GGA was carried out for a relaxed structure of Ce2HfTaN6.

```
Ce2HfTaN6
1.0
5.659 0.000 -0.013
0.000 5.792 0.000
0.032 0.000 8.058
N Ta Hf Ce
12 2 2 4
Cartesian
3.475 0.247 1.966
0.661 2.649 6.002
2.216 5.545 6.078
4.594 4.628 4.508
4.550 4.680 7.578
1.140 1.112 0.467
3.986 1.784 4.489
1.705 4.008 3.555
1.749 4.060 0.486
5.029 3.143 2.043
1.097 1.164 3.536
3.942 1.732 7.559
0.016 2.896 4.029
2.829 0.000 -0.006
0.000 2.896 0.000
2.845 0.000 4.022
2.917 3.183 6.029
0.071 5.505 2.007
2.774 2.609 2.015
5.619 0.287 6.038
```

Calculated values
Formation energy without anion corrections, eV per atom: -1.27
Space-group type: P2_1/c (14)
DOS at the Fermi energy, states/eV/cell: 15.0

A plane-wave DFT calculation with PBE-GGA was carried out for a relaxed structure of CeHfTaN3.

```
CeHfTaN3
1.0
-1.983 -1.134 -2.215
5.324 -3.198 -3.130
-1.673 -6.428 4.788
N Ta Ce Hf
6 2 2 2
Cartesian
0.451 -2.934 -2.330
1.218 -7.827 1.773
-1.366 -3.991 -0.162
3.034 -6.769 -0.395
2.779 -4.510 -3.608
-1.111 -6.250 3.051
2.327 -6.257 -2.309
-0.659 -4.503 1.752
1.708 -8.918 -0.393
-0.040 -1.842 -0.164
2.606 -3.154 -1.861
-0.937 -7.606 1.305
```

Calculated values
Formation energy without anion corrections, eV per atom: -1.26
Space-group type: P2_1/m (11)
DOS at the Fermi energy, states/eV/cell: 7.1

A plane-wave DFT calculation with PBE-GGA was carried out for a relaxed structure of Ce3Hf2TaN6.

```
Ce3Hf2TaN6
1.0
-4.240 -2.780 -2.564
2.927 -2.510 4.173
-3.240 3.843 3.292
Hf N Ta Ce
2 6 1 3
Cartesian
-1.851 -2.690 -0.318
0.538 -2.600 1.927
-2.901 1.670 3.019
-2.160 -0.480 -0.044
-2.393 -0.967 4.944
-1.652 -3.117 1.882
0.194 -0.391 2.170
-4.747 -1.056 2.731
0.000 0.000 0.000
0.109 -0.634 4.693
-4.662 -0.813 0.208
-2.276 -0.723 2.450
```

Calculated values
Formation energy without anion corrections, eV per atom: -1.60
Space-group type: C2/m (12)
DOS at the Fermi energy, states/eV/cell: 7.2